No. 1
First-principles (PBE) data for an optimized crystal structure of LiTlIr2, as listed in the Alexandria database.

Summary:
ΔH_f (0 K) = 465 meV per atom
Size of the total moment = 0.13 μB/f.u.
D(E_F) = 1.180 states/eV/atom
SG = R-3m, No. 166

Cell: 8.962 8.962 8.962 Å, 18.89 18.89 18.89°
Positions (direct):
Tl 0.750 0.750 0.750
Ir 0.503 0.503 0.503
Ir 0.997 0.997 0.997
Li 0.250 0.250 0.250

***

No. 2
First-principles (PBE) data for an optimized crystal structure of LiTlIr2W, as listed in the Alexandria database.

Summary:
ΔH_f (0 K) = 1146 meV per atom
Size of the total moment = 0.91 μB/f.u.
D(E_F) = 0.759 states/eV/atom
SG = P4/mmm, No. 123

Cell: 4.248 4.362 4.248 Å, 90.00 90.00 90.00°
Positions (direct):
Li 0.000 0.000 0.000
W 0.500 0.500 0.500
Tl 0.000 0.500 0.000
Ir 0.500 0.000 0.000
Ir 0.000 0.000 0.500

***

No. 3
First-principles (PBE) data for an optimized crystal structure of LiYTlIr, as listed in the Alexandria database.

Summary:
ΔH_f (0 K) = -347 meV per atom
Size of the total moment = 0.00 μB/f.u.
D(E_F) = 1.008 states/eV/atom
SG = F-43m, No. 216

Cell: 4.808 4.808 4.808 Å, 60.00 60.00 60.00°
Positions (direct):
Tl 0.250 0.250 0.250
Ir 0.500 0.500 0.500
Li 0.000 0.000 0.000
Y 0.750 0.750 0.750

***

No. 4
First-principles (PBE) data for an optimized crystal structure of LiTlZnIr, as listed in the Alexandria database.

Summary:
ΔH_f (0 K) = -93 meV per atom
Size of the total moment = 0.00 μB/f.u.
D(E_F) = 0.379 states/eV/atom
SG = F-43m, No. 216

Cell: 4.524 4.524 4.524 Å, 60.00 60.00 60.00°
Positions (direct):
Li 0.250 0.250 0.250
Ir 0.750 0.750 0.750
Zn 0.000 0.000 0.000
Tl 0.500 0.500 0.500

***

No. 5
First-principles (PBE) data for an optimized crystal structure of LiTm2Ir2, as listed in the Alexandria database.

Summary:
ΔH_f (0 K) = -728 meV per atom
Size of the total moment = 0.00 μB/f.u.
D(E_F) = 0.482 states/eV/atom
SG = Immm, No. 71

Cell: 4.137 5.374 5.374 Å, 65.88 67.36 67.36°
Positions (direct):
Tm 0.294 0.206 0.706
Ir 0.000 0.228 0.272
Tm 0.706 0.794 0.294
Ir 0.000 0.772 0.728
Li 0.500 0.500 0.000

***

No. 6
First-principles (PBE) data for an optimized crystal structure of Li3Tm12Ir5, as listed in the Alexandria database.

Summary:
ΔH_f (0 K) = -65 meV per atom
Size of the total moment = 0.00 μB/f.u.
D(E_F) = 0.552 states/eV/atom
SG = Ia-3d, No. 230

Cell: 14.696 14.696 14.696 Å, 109.47 109.47 109.47°
Positions (direct):
Li 0.125 0.250 0.875
Tm 0.324 0.528 0.415
Tm 0.591 0.705 0.676
Tm 0.205 0.528 0.614
Li 0.250 0.625 0.875
Li 0.375 0.625 0.250
Ir 0.500 0.000 0.500
Li 0.875 0.750 0.125
Ir 0.750 0.625 0.375
Li 0.750 0.375 0.125
Li 0.250 0.125 0.375
Ir 0.000 0.500 0.500
Tm 0.295 0.886 0.972
Tm 0.324 0.795 0.409
Li 0.625 0.375 0.750
Tm 0.795 0.324 0.909
Tm 0.028 0.415 0.824
Ir 0.500 0.500 0.000
Ir 0.125 0.750 0.375
Tm 0.676 0.205 0.591
Tm 0.676 0.472 0.585
Li 0.375 0.750 0.625
Tm 0.909 0.824 0.795
Tm 0.528 0.324 0.915
Tm 0.795 0.472 0.386
Tm 0.386 0.972 0.795
Tm 0.915 0.824 0.528
Ir 0.625 0.875 0.250
Tm 0.205 0.676 0.091
Tm 0.972 0.386 0.295
Tm 0.528 0.205 0.114
Tm 0.085 0.176 0.472
Ir 0.875 0.625 0.750
Tm 0.824 0.909 0.295
Tm 0.886 0.591 0.915
Tm 0.909 0.085 0.614
Tm 0.114 0.409 0.085
Li 0.625 0.250 0.375
Tm 0.705 0.591 0.176
Li 0.750 0.875 0.625
Tm 0.415 0.386 0.591
Ir 0.000 0.000 0.500
Tm 0.886 0.295 0.472
Ir 0.875 0.250 0.625
Tm 0.176 0.091 0.705
Li 0.125 0.875 0.750
Tm 0.472 0.676 0.085
Tm 0.386 0.415 0.091
Ir 0.000 0.000 0.000
Tm 0.972 0.585 0.176
Tm 0.591 0.886 0.415
Ir 0.375 0.125 0.750
Tm 0.409 0.295 0.324
Tm 0.085 0.909 0.114
Ir 0.500 0.000 0.000
Tm 0.415 0.028 0.324
Tm 0.472 0.795 0.886
Tm 0.028 0.614 0.705
Tm 0.824 0.915 0.028
Tm 0.614 0.585 0.909
Ir 0.750 0.125 0.875
Ir 0.375 0.250 0.125
Tm 0.295 0.409 0.824
Ir 0.250 0.375 0.625
Tm 0.409 0.114 0.585
Ir 0.000 0.500 0.000
Tm 0.585 0.614 0.409
Ir 0.250 0.875 0.125
Tm 0.176 0.085 0.972
Tm 0.585 0.972 0.676
Tm 0.091 0.915 0.386
Li 0.875 0.125 0.250
Ir 0.125 0.375 0.250
Ir 0.500 0.500 0.500
Tm 0.915 0.091 0.886
Tm 0.091 0.176 0.205
Tm 0.705 0.114 0.028
Tm 0.114 0.705 0.528
Ir 0.625 0.750 0.875
Tm 0.614 0.028 0.205

***

No. 7
First-principles (PBE) data for an optimized crystal structure of LiTm4Ir3, as listed in the Alexandria database.

Summary:
ΔH_f (0 K) = -769 meV per atom
Size of the total moment = 0.00 μB/f.u.
D(E_F) = 0.809 states/eV/atom
SG = I4/mmm, No. 139

Cell: 4.813 4.813 7.663 Å, 108.30 108.30 90.00°
Positions (direct):
Tm 0.871 0.871 0.743
Ir 0.743 0.244 0.487
Ir 0.257 0.756 0.513
Tm 0.371 0.371 0.743
Li 0.500 0.000 0.000
Tm 0.129 0.129 0.257
Ir 0.000 0.500 0.000
Tm 0.629 0.629 0.257

***

No. 8
First-principles (PBE) data for an optimized crystal structure of LiTm4Ir, as listed in the Alexandria database.

Summary:
ΔH_f (0 K) = -73 meV per atom
Size of the total moment = 0.00 μB/f.u.
D(E_F) = 1.079 states/eV/atom
SG = I4_1md, No. 109

Cell: 7.877 7.877 7.877 Å, 102.19 102.19 125.29°
Positions (direct):
Tm 0.263 0.573 0.309
Ir 0.537 0.037 0.500
Ir 0.787 0.787 0.000
Li 0.936 0.436 0.500
Li 0.186 0.186 0.000
Tm 0.750 0.015 0.265
Tm 0.704 0.513 0.191
Tm 0.765 0.000 0.765
Tm 0.750 0.486 0.735
Tm 0.236 0.000 0.235
Tm 0.323 0.513 0.809
Tm 0.263 0.954 0.691